# 1
LuCuBiIr | PBE-GGA | relaxed

- Crystal system: cubic
- Polymorph energy (0 for the lowest one): 0.0 kJ per mole of atoms
- VASP energy: -5.559 eV per atom
- M_tot: 0.0001 μB/atom

```
data_LuCuBiIr
_chemical_formula_sum 'Lu4 Cu4 Bi4 Ir4'
_symmetry_space_group_name_H-M 'F -4 3 m'
_symmetry_Int_Tables_number 216
_symmetry_space_group_name_Hall 'F -4 2 3'
_cell_length_a 6.7591
_cell_length_b 6.7591
_cell_length_c 6.7591
_cell_angle_alpha 90.00
_cell_angle_beta 90.00
_cell_angle_gamma 90.00
loop_
_atom_site_label
_atom_site_type_symbol
_atom_site_fract_x
_atom_site_fract_y
_atom_site_fract_z
Lu1 Lu 0.0000 0.0000 0.0000
Cu1 Cu 0.2500 0.2500 0.2500
Bi1 Bi 0.0000 0.0000 0.5000
Ir1 Ir 0.2500 0.2500 0.7500
```

# 2
TaFeGePt | PBE-GGA | relaxed

- Crystal system: cubic
- Polymorph energy (0 for the lowest one): 1.4 kJ per mole of atoms
- VASP energy: -7.815 eV per atom
- M_tot: 0.4657 μB/atom

```
data_TaFeGePt
_chemical_formula_sum 'Ta4 Fe4 Ge4 Pt4'
_symmetry_space_group_name_H-M 'F -4 3 m'
_symmetry_Int_Tables_number 216
_symmetry_space_group_name_Hall 'F -4 2 3'
_cell_length_a 6.2468
_cell_length_b 6.2468
_cell_length_c 6.2468
_cell_angle_alpha 90.00
_cell_angle_beta 90.00
_cell_angle_gamma 90.00
loop_
_atom_site_label
_atom_site_type_symbol
_atom_site_fract_x
_atom_site_fract_y
_atom_site_fract_z
Ta1 Ta 0.0000 0.0000 0.0000
Fe1 Fe 0.2500 0.2500 0.7500
Ge1 Ge 0.0000 0.0000 0.5000
Pt1 Pt 0.2500 0.2500 0.2500
```

# 3
NaNdHg | PBE-GGA | relaxed

- Crystal system: cubic
- Polymorph energy (0 for the lowest one): 0.0 kJ per mole of atoms
- VASP energy: -1.893 eV per atom
- M_tot: 0.1740 μB/atom

```
data_NaNdHg
_chemical_formula_sum 'Na4 Nd4 Hg4'
_symmetry_space_group_name_H-M 'F -4 3 m'
_symmetry_Int_Tables_number 216
_symmetry_space_group_name_Hall 'F -4 2 3'
_cell_length_a 7.0642
_cell_length_b 7.0642
_cell_length_c 7.0642
_cell_angle_alpha 90.00
_cell_angle_beta 90.00
_cell_angle_gamma 90.00
loop_
_atom_site_label
_atom_site_type_symbol
_atom_site_fract_x
_atom_site_fract_y
_atom_site_fract_z
Na1 Na 0.0000 0.0000 0.0000
Nd1 Nd 0.2500 0.2500 0.2500
Hg1 Hg 0.2500 0.2500 0.7500
```

# 4
Cs2AgAsSe4 | PBE-GGA | relaxed

- Crystal system: triclinic
- VASP energy: -3.508 eV per atom

```
data_Cs2AgAsSe4
_chemical_formula_sum 'Cs4 Ag2 As2 Se8'
_symmetry_space_group_name_H-M 'P -1'
_symmetry_Int_Tables_number 2
_cell_length_a 7.2223
_cell_length_b 7.5079
_cell_length_c 11.7638
_cell_angle_alpha 73.18
_cell_angle_beta 73.49
_cell_angle_gamma 70.32
loop_
_symmetry_equiv_pos_as_xyz
'x,y,z'
'-x,-y,-z'
loop_
_atom_site_label
_atom_site_type_symbol
_atom_site_fract_x
_atom_site_fract_y
_atom_site_fract_z
Cs1 Cs 0.2413 0.2627 0.0985
Cs2 Cs 0.2593 0.0107 0.6926
Ag1 Ag 0.1355 0.5847 0.5790
As1 As 0.3590 0.6404 0.2706
Se1 Se 0.2266 0.8738 0.3925
Se2 Se 0.2385 0.7665 0.0907
Se3 Se 0.2590 0.3576 0.3855
Se4 Se 0.2830 0.4418 0.7745
```